1.
Density functional theory data (PBE) for a relaxed structure of TlInSnSb.

Calculated values
Crystal system: cubic
E: -3.220 eV per atom
Formation energy (no corrections): 0.3 eV per formula unit
Magnetic moment: 0.0 Bohr magnetons per cell

Lattice parameters (Å, degrees): 7.7268 7.7268 7.7268 90.00 90.00 90.00
Space group F-43m (No. 216)
Unique sites:
Tl 0.0000 0.0000 0.0000 [4 per cell]
In 0.2500 0.2500 0.2500 [4 per cell]
Sn 0.2500 0.2500 0.7500 [4 per cell]
Sb 0.0000 0.0000 0.5000 [4 per cell]

---

2.
Density functional theory data (PBE) for a relaxed structure of Sr2InSb.

Calculated values
Crystal system: cubic
E: -3.155 eV per atom
Formation energy (no corrections): -2.4 eV per formula unit
Magnetic moment: 0.0 Bohr magnetons per cell
Energy above the most stable polymorph in this dataset: 70.2 meV/atom

Lattice parameters (Å, degrees): 8.1356 8.1356 8.1356 90.00 90.00 90.00
Space group Fm-3m (No. 225)
Unique sites:
Sr 0.2500 0.2500 0.2500 [8 per cell]
In 0.0000 0.0000 0.0000 [4 per cell]
Sb 0.0000 0.0000 0.5000 [4 per cell]

---

3.
Density functional theory data (PBE) for a relaxed structure of SrInSb3.

Calculated values
Crystal system: cubic
E: -3.226 eV per atom
Formation energy (no corrections): 0.7 eV per formula unit
Magnetic moment: 0.0 Bohr magnetons per cell
Energy above the most stable polymorph in this dataset: 0.0 meV/atom

Lattice parameters (Å, degrees): 5.6614 5.6614 5.6614 90.00 90.00 90.00
Space group Pm-3m (No. 221)
Unique sites:
Sr 0.0000 0.0000 0.0000 [1 per cell]
In 0.5000 0.5000 0.5000 [1 per cell]
Sb 0.0000 0.5000 0.5000 [3 per cell]